Record 1
The following is a DFT calculation (PBE-GGA) of Th4As2PS after structural relaxation.

```
8
Lattice="7.227 0.000 0.000 0.000 4.177 0.000 -2.417 0.000 6.816" Properties=species:S:1:pos:R:3 pbc="T T T"
Th 1.191 0.000 1.625
Th -0.017 2.088 5.185
Th 4.827 2.088 1.631
Th 3.619 0.000 5.191
As -1.209 0.000 3.408
As 2.405 2.088 3.408
P 0.000 2.088 0.000
S 3.613 0.000 0.000
```

Formation energy without anion corrections, meV per atom: -1552

=====

Record 2
The following is a DFT calculation (PBE-GGA) of NiRu2 after structural relaxation.

```
6
Lattice="2.280 -3.949 0.000 2.280 3.949 0.000 -1.558 0.000 4.338" Properties=species:S:1:pos:R:3 pbc="T T T"
Ni 1.111 3.308 3.253
Ni 1.891 -3.308 1.084
Ru 1.891 1.952 1.084
Ru 1.111 0.695 3.253
Ru 1.891 -0.695 1.084
Ru 1.111 -1.952 3.253
```

Formation enthalpy at 0 K, eV per formula unit: 0.274
Energy relative to the lowest polymorph listed for this composition, meV per atom: 44.3

=====

For the records above, the corresponding V values read 25.7, 13.0 Å³ per atom.
For the records above, the corresponding N(E_F) values read 0.613, 1.143 states/eV per atom.